# Ac6Ge3Te2Se, optimized geometry, DFT PBE
# Crystal system: monoclinic
# Energy relative to the elements, uncorrected: -1.248 eV per atom
# E: -5.2710 eV per atom
data_Ac6Ge3Te2Se
_chemical_formula_sum 'Ac12 Ge6 Te4 Se2'
_cell_length_a 20.3582
_cell_length_b 4.6356
_cell_length_c 9.3724
_cell_angle_alpha 90.00
_cell_angle_beta 103.91
_cell_angle_gamma 90.00
_space_group_name_H-M_alt 'C 1 2/m 1'
_space_group_IT_number 12
loop_
_space_group_symop_operation_xyz
'x,y,z'
'-x,-y,-z'
'-x,y,-z'
'x,-y,z'
'x+1/2,y+1/2,z'
'-x+1/2,-y+1/2,-z'
'-x+1/2,y+1/2,-z'
'x+1/2,-y+1/2,z'
loop_
_atom_site_label
_atom_site_type_symbol
_atom_site_fract_x
_atom_site_fract_y
_atom_site_fract_z
Ac1 Ac 0.0061 0.0000 0.2450
Ac2 Ac 0.1606 0.5000 0.0984
Ac3 Ac 0.1688 0.5000 0.5674
Ge1 Ge 0.0000 0.5000 0.0000
Ge2 Ge 0.1674 0.0000 0.3352
Te1 Te 0.1664 0.0000 0.8333
Se1 Se 0.0000 0.5000 0.5000

# Be2ReIr, optimized geometry, DFT PBE
# Crystal system: tetragonal
# E: -7.4384 eV per atom
# Energy of formation from the pure elements: -0.25 eV/atom
data_Be2ReIr
_chemical_formula_sum 'Be2 Re1 Ir1'
_cell_length_a 2.7824
_cell_length_b 2.7824
_cell_length_c 5.8162
_cell_angle_alpha 90.00
_cell_angle_beta 90.00
_cell_angle_gamma 90.00
_space_group_name_H-M_alt 'P 4/m m m'
_space_group_IT_number 123
_space_group_name_Hall '-P 4 2'
loop_
_atom_site_label
_atom_site_type_symbol
_atom_site_fract_x
_atom_site_fract_y
_atom_site_fract_z
Be1 Be 0.0000 0.0000 0.2242
Re1 Re 0.5000 0.5000 0.5000
Ir1 Ir 0.5000 0.5000 0.0000

# Ac6CoHg2I3, optimized geometry, DFT PBE
# Crystal system: monoclinic
# Energy relative to the elements, uncorrected: -0.669 eV per atom
# E: -3.7536 eV per atom
data_Ac6CoHg2I3
_chemical_formula_sum 'Ac12 Co2 Hg4 I6'
_cell_length_a 8.3462
_cell_length_b 13.2347
_cell_length_c 8.7342
_cell_angle_alpha 90.00
_cell_angle_beta 107.11
_cell_angle_gamma 90.00
_space_group_name_H-M_alt 'C 1 2/m 1'
_space_group_IT_number 12
loop_
_space_group_symop_operation_xyz
'x,y,z'
'-x,-y,-z'
'-x,y,-z'
'x,-y,z'
'x+1/2,y+1/2,z'
'-x+1/2,-y+1/2,-z'
'-x+1/2,y+1/2,-z'
'x+1/2,-y+1/2,z'
loop_
_atom_site_label
_atom_site_type_symbol
_atom_site_fract_x
_atom_site_fract_y
_atom_site_fract_z
Ac1 Ac 0.2128 0.1521 0.1875
Ac2 Ac 0.2150 0.0000 0.7791
Co1 Co 0.0000 0.0000 0.0000
Hg1 Hg 0.0000 0.3517 0.0000
I1 I 0.0000 0.1830 0.5000
I2 I 0.0000 0.5000 0.5000

# Au3ICl, optimized geometry, DFT PBE
# Crystal system: cubic
# Energy relative to the elements, uncorrected: 0.666 eV per atom
# E: -1.9799 eV per atom
data_Au3ICl
_chemical_formula_sum 'Au3 I1 Cl1'
_cell_length_a 5.0885
_cell_length_b 5.0885
_cell_length_c 5.0885
_cell_angle_alpha 90.00
_cell_angle_beta 90.00
_cell_angle_gamma 90.00
_space_group_name_H-M_alt 'P m -3 m'
_space_group_IT_number 221
_space_group_name_Hall '-P 4 2 3'
loop_
_atom_site_label
_atom_site_type_symbol
_atom_site_fract_x
_atom_site_fract_y
_atom_site_fract_z
Au1 Au 0.0000 0.0000 0.5000
I1 I 0.5000 0.5000 0.5000
Cl1 Cl 0.0000 0.0000 0.0000

# Sr2PaIO8, optimized geometry, DFT PBE
# Crystal system: monoclinic
# Energy relative to the elements, uncorrected: -2.163 eV per atom
# E: -6.6697 eV per atom
data_Sr2PaIO8
_chemical_formula_sum 'Sr2 Pa1 I1 O8'
_cell_length_a 5.2959
_cell_length_b 6.9762
_cell_length_c 5.3016
_cell_angle_alpha 90.00
_cell_angle_beta 92.89
_cell_angle_gamma 90.00
_space_group_name_H-M_alt 'P 1 2/m 1'
_space_group_IT_number 10
loop_
_space_group_symop_operation_xyz
'x,y,z'
'-x,-y,-z'
'-x,y,-z'
'x,-y,z'
loop_
_atom_site_label
_atom_site_type_symbol
_atom_site_fract_x
_atom_site_fract_y
_atom_site_fract_z
Sr1 Sr 0.0000 0.2378 0.0000
Pa1 Pa 0.5000 0.5000 0.5000
I1 I 0.5000 0.0000 0.5000
O1 O 0.2264 0.5000 0.2286
O2 O 0.2444 0.0000 0.2477
O3 O 0.3334 0.2105 0.6688

# Nd2DyThSb4, optimized geometry, DFT PBE
# Crystal system: monoclinic
# Energy relative to the elements, uncorrected: -1.121 eV per atom
# E: -5.8768 eV per atom
data_Nd2DyThSb4
_chemical_formula_sum 'Nd2 Dy1 Th1 Sb4'
_cell_length_a 7.7553
_cell_length_b 4.4934
_cell_length_c 7.7813
_cell_angle_alpha 90.00
_cell_angle_beta 109.46
_cell_angle_gamma 90.00
_space_group_name_H-M_alt 'P 1 2/m 1'
_space_group_IT_number 10
loop_
_space_group_symop_operation_xyz
'x,y,z'
'-x,-y,-z'
'-x,y,-z'
'x,-y,z'
loop_
_atom_site_label
_atom_site_type_symbol
_atom_site_fract_x
_atom_site_fract_y
_atom_site_fract_z
Nd1 Nd 0.0000 0.0000 0.0000
Nd2 Nd 0.5000 0.5000 0.0000
Dy1 Dy 0.0000 0.5000 0.5000
Th1 Th 0.5000 0.0000 0.5000
Sb1 Sb 0.2446 0.0000 0.7432
Sb2 Sb 0.2475 0.5000 0.2538

# Zr4Ni2H, optimized geometry, DFT PBE
# Crystal system: tetragonal
# E: -7.2203 eV per atom
data_Zr4Ni2H
_chemical_formula_sum 'Zr8 Ni4 H2'
_cell_length_a 4.2103
_cell_length_b 4.2103
_cell_length_c 13.4281
_cell_angle_alpha 90.00
_cell_angle_beta 90.00
_cell_angle_gamma 90.00
_space_group_name_H-M_alt 'I 4/m m m'
_space_group_IT_number 139
_space_group_name_Hall '-I 4 2'
loop_
_atom_site_label
_atom_site_type_symbol
_atom_site_fract_x
_atom_site_fract_y
_atom_site_fract_z
Zr1 Zr 0.0000 0.0000 0.1899
Zr2 Zr 0.0000 0.5000 0.0000
Ni1 Ni 0.0000 0.0000 0.3672
H1 H 0.0000 0.0000 0.0000

# PmCdNiGe, optimized geometry, DFT PBE
# Crystal system: cubic
# E: -4.2484 eV per atom
# Energy of formation from the pure elements: -0.23 eV/atom
data_PmCdNiGe
_chemical_formula_sum 'Pm4 Cd4 Ni4 Ge4'
_cell_length_a 6.8241
_cell_length_b 6.8241
_cell_length_c 6.8241
_cell_angle_alpha 90.00
_cell_angle_beta 90.00
_cell_angle_gamma 90.00
_space_group_name_H-M_alt 'F -4 3 m'
_space_group_IT_number 216
_space_group_name_Hall 'F -4 2 3'
loop_
_atom_site_label
_atom_site_type_symbol
_atom_site_fract_x
_atom_site_fract_y
_atom_site_fract_z
Pm1 Pm 0.0000 0.0000 0.0000
Cd1 Cd 0.0000 0.0000 0.5000
Ni1 Ni 0.2500 0.2500 0.2500
Ge1 Ge 0.2500 0.2500 0.7500

> Look up the E of the sixth one.

-5.8768 eV per atom